1.
The following is a PBE-GGA calculation of a geometry-optimized LaDy6Tm structure, from Alexandria via LeMat-Bulk.

```
data_LaDy6Tm
_symmetry_space_group_name_H-M 'P 4/m m m'
_symmetry_Int_Tables_number 123
_symmetry_space_group_name_Hall '-P 4 2'
_cell_length_a 5.0429
_cell_length_b 5.0429
_cell_length_c 10.0751
_cell_angle_alpha 90.00
_cell_angle_beta 90.00
_cell_angle_gamma 90.00
loop_
_atom_site_label
_atom_site_type_symbol
_atom_site_fract_x
_atom_site_fract_y
_atom_site_fract_z
_atom_site_occupancy
La1 La 0.0000 0.0000 0.0000 1
Dy1 Dy 0.0000 0.5000 0.2552 1
Dy2 Dy 0.5000 0.5000 0.0000 1
Dy3 Dy 0.5000 0.5000 0.5000 1
Tm1 Tm 0.0000 0.0000 0.5000 1
```

Total magnetic moment, μB/cell: 0.0
V, A^3/atom: 32.0

---

2.
The following is a PBE-GGA calculation of a geometry-optimized LaDy6Tm structure, from Alexandria via LeMat-Bulk.

```
data_LaDy6Tm
_symmetry_space_group_name_H-M 'P -1'
_symmetry_Int_Tables_number 2
_cell_length_a 6.5505
_cell_length_b 6.5693
_cell_length_c 7.4922
_cell_angle_alpha 115.84
_cell_angle_beta 114.42
_cell_angle_gamma 90.13
loop_
_symmetry_equiv_pos_as_xyz
'x,y,z'
'-x,-y,-z'
loop_
_atom_site_label
_atom_site_type_symbol
_atom_site_fract_x
_atom_site_fract_y
_atom_site_fract_z
_atom_site_occupancy
La1 La 0.0000 0.0000 0.0000 1
Dy1 Dy 0.0901 0.2679 0.5353 1
Dy2 Dy 0.4369 0.7629 0.5264 1
Dy3 Dy 0.5001 0.2540 0.9994 1
Tm1 Tm 0.0000 0.5000 0.0000 1
```

Total magnetic moment, μB/cell: 0.0
V, A^3/atom: 32.2

---

Which one sits at the bottom of the stability order? 2 does.

---

1.
The following is a PBE-GGA calculation of a geometry-optimized LaDy4Tm6 structure, from Alexandria via LeMat-Bulk.

```
data_LaDy4Tm6
_symmetry_space_group_name_H-M 'C m c m'
_symmetry_Int_Tables_number 63
_symmetry_space_group_name_Hall '-C 2c 2'
_cell_length_a 5.6111
_cell_length_b 9.6943
_cell_length_c 25.5050
_cell_angle_alpha 90.00
_cell_angle_beta 90.00
_cell_angle_gamma 90.00
loop_
_atom_site_label
_atom_site_type_symbol
_atom_site_fract_x
_atom_site_fract_y
_atom_site_fract_z
_atom_site_occupancy
La1 La 0.0000 0.1684 0.2500 1
Dy1 Dy 0.0000 0.1661 0.5413 1
Dy2 Dy 0.0000 0.4981 0.6218 1
Tm1 Tm 0.0000 0.1649 0.6802 1
Tm2 Tm 0.0000 0.1682 0.1006 1
Tm3 Tm 0.0000 0.4981 0.7500 1
Tm4 Tm 0.0000 0.5000 0.0000 1
```

Total magnetic moment, μB/cell: 0.0
V, A^3/atom: 31.5

---

2.
The following is a PBE-GGA calculation of a geometry-optimized LaDy4Tm6 structure, from Alexandria via LeMat-Bulk.

```
data_LaDy4Tm6
_symmetry_space_group_name_H-M 'I -4 2 m'
_symmetry_Int_Tables_number 121
_symmetry_space_group_name_Hall 'I -4 2'
_cell_length_a 7.7592
_cell_length_b 7.7592
_cell_length_c 12.6695
_cell_angle_alpha 90.00
_cell_angle_beta 90.00
_cell_angle_gamma 90.00
loop_
_atom_site_label
_atom_site_type_symbol
_atom_site_fract_x
_atom_site_fract_y
_atom_site_fract_z
_atom_site_occupancy
La1 La 0.0000 0.0000 0.0000 1
Dy1 Dy 0.1659 0.1659 0.4267 1
Tm1 Tm 0.0000 0.5000 0.0000 1
Tm2 Tm 0.2390 0.2390 0.6868 1
```

Total magnetic moment, μB/cell: 0.0
V, A^3/atom: 34.7

---

Which one sits at the bottom of the stability order? 2 does.

---

1.
The following is a PBE-GGA calculation of a geometry-optimized La4DyTm structure, from Alexandria via LeMat-Bulk.

```
data_La4DyTm
_symmetry_space_group_name_H-M 'C m m m'
_symmetry_Int_Tables_number 65
_symmetry_space_group_name_Hall '-C 2 2'
_cell_length_a 6.0705
_cell_length_b 11.4612
_cell_length_c 6.0577
_cell_angle_alpha 90.00
_cell_angle_beta 90.00
_cell_angle_gamma 90.00
loop_
_atom_site_label
_atom_site_type_symbol
_atom_site_fract_x
_atom_site_fract_y
_atom_site_fract_z
_atom_site_occupancy
La1 La 0.0000 0.1560 0.0000 1
La2 La 0.0000 0.3441 0.5000 1
Dy1 Dy 0.0000 0.0000 0.5000 1
Tm1 Tm 0.0000 0.5000 0.0000 1
```

Total magnetic moment, μB/cell: 0.0
V, A^3/atom: 35.1

---

2.
The following is a PBE-GGA calculation of a geometry-optimized La4DyTm structure, from Alexandria via LeMat-Bulk.

```
data_La4DyTm
_symmetry_space_group_name_H-M 'C 1 2/m 1'
_symmetry_Int_Tables_number 12
_cell_length_a 6.3823
_cell_length_b 10.8622
_cell_length_c 6.3819
_cell_angle_alpha 90.00
_cell_angle_beta 109.93
_cell_angle_gamma 90.00
loop_
_symmetry_equiv_pos_as_xyz
'x,y,z'
'-x,-y,-z'
'-x,y,-z'
'x,-y,z'
'x+1/2,y+1/2,z'
'-x+1/2,-y+1/2,-z'
'-x+1/2,y+1/2,-z'
'x+1/2,-y+1/2,z'
loop_
_atom_site_label
_atom_site_type_symbol
_atom_site_fract_x
_atom_site_fract_y
_atom_site_fract_z
_atom_site_occupancy
La1 La 0.0000 0.1702 0.0000 1
La2 La 0.0000 0.3289 0.5000 1
Dy1 Dy 0.0000 0.5000 0.0000 1
Tm1 Tm 0.0000 0.0000 0.5000 1
```

Total magnetic moment, μB/cell: 0.0
V, A^3/atom: 34.7

---

Which one sits at the bottom of the stability order? 1 does.

---

1.
The following is a PBE-GGA calculation of a geometry-optimized La3DyTm7 structure, from Alexandria via LeMat-Bulk.

```
data_La3DyTm7
_symmetry_space_group_name_H-M 'P -1'
_symmetry_Int_Tables_number 2
_cell_length_a 5.4927
_cell_length_b 6.9619
_cell_length_c 9.9928
_cell_angle_alpha 71.08
_cell_angle_beta 89.98
_cell_angle_gamma 89.93
loop_
_symmetry_equiv_pos_as_xyz
'x,y,z'
'-x,-y,-z'
loop_
_atom_site_label
_atom_site_type_symbol
_atom_site_fract_x
_atom_site_fract_y
_atom_site_fract_z
_atom_site_occupancy
La1 La 0.0000 0.0000 0.0000 1
La2 La 0.4996 0.2815 0.5060 1
Dy1 Dy 0.0000 0.5000 0.0000 1
Tm1 Tm 0.0000 0.0000 0.5000 1
Tm2 Tm 0.9998 0.4285 0.6708 1
Tm3 Tm 0.5001 0.1495 0.2103 1
Tm4 Tm 0.4999 0.3234 0.8654 1
```

Total magnetic moment, μB/cell: 0.0
V, A^3/atom: 32.9

---

2.
The following is a PBE-GGA calculation of a geometry-optimized La3DyTm7 structure, from Alexandria via LeMat-Bulk.

```
data_La3DyTm7
_symmetry_space_group_name_H-M 'P 3 m 1'
_symmetry_Int_Tables_number 156
_cell_length_a 7.0289
_cell_length_b 7.0289
_cell_length_c 8.7137
_cell_angle_alpha 90.00
_cell_angle_beta 90.00
_cell_angle_gamma 120.00
loop_
_symmetry_equiv_pos_as_xyz
'x,y,z'
'-y,x-y,z'
'-x+y,-x,z'
'-y,-x,z'
'-x+y,y,z'
'x,x-y,z'
loop_
_atom_site_label
_atom_site_type_symbol
_atom_site_fract_x
_atom_site_fract_y
_atom_site_fract_z
_atom_site_occupancy
La1 La 0.9996 0.4998 0.0000 1
Dy1 Dy 0.3333 0.6667 0.3410 1
Tm1 Tm 0.1671 0.3342 0.6594 1
Tm2 Tm 0.3344 0.1672 0.3418 1
Tm3 Tm 0.6667 0.3333 0.6592 1
```

Total magnetic moment, μB/cell: 0.0
V, A^3/atom: 33.9

---

Which one sits at the bottom of the stability order? 2 does.

---

1.
The following is a PBE-GGA calculation of a geometry-optimized La8Dy2Tm structure, from Alexandria via LeMat-Bulk.

```
data_La8Dy2Tm
_symmetry_space_group_name_H-M 'C 1 2/m 1'
_symmetry_Int_Tables_number 12
_cell_length_a 9.2518
_cell_length_b 16.8181
_cell_length_c 6.0555
_cell_angle_alpha 90.00
_cell_angle_beta 123.60
_cell_angle_gamma 90.00
loop_
_symmetry_equiv_pos_as_xyz
'x,y,z'
'-x,-y,-z'
'-x,y,-z'
'x,-y,z'
'x+1/2,y+1/2,z'
'-x+1/2,-y+1/2,-z'
'-x+1/2,y+1/2,-z'
'x+1/2,-y+1/2,z'
loop_
_atom_site_label
_atom_site_type_symbol
_atom_site_fract_x
_atom_site_fract_y
_atom_site_fract_z
_atom_site_occupancy
La1 La 0.0000 0.2055 0.0000 1
La2 La 0.0808 0.5000 0.7985 1
La3 La 0.2139 0.1186 0.6829 1
Dy1 Dy 0.0000 0.3108 0.5000 1
Tm1 Tm 0.0000 0.0000 0.0000 1
```

Total magnetic moment, μB/cell: 0.0
V, A^3/atom: 35.7

---

2.
The following is a PBE-GGA calculation of a geometry-optimized La8Dy2Tm structure, from Alexandria via LeMat-Bulk.

```
data_La8Dy2Tm
_symmetry_space_group_name_H-M 'C 1 2/m 1'
_symmetry_Int_Tables_number 12
_cell_length_a 18.6883
_cell_length_b 5.2157
_cell_length_c 8.2294
_cell_angle_alpha 90.00
_cell_angle_beta 105.20
_cell_angle_gamma 90.00
loop_
_symmetry_equiv_pos_as_xyz
'x,y,z'
'-x,-y,-z'
'-x,y,-z'
'x,-y,z'
'x+1/2,y+1/2,z'
'-x+1/2,-y+1/2,-z'
'-x+1/2,y+1/2,-z'
'x+1/2,-y+1/2,z'
loop_
_atom_site_label
_atom_site_type_symbol
_atom_site_fract_x
_atom_site_fract_y
_atom_site_fract_z
_atom_site_occupancy
La1 La 0.0469 0.0000 0.2279 1
La2 La 0.0916 0.5000 0.9527 1
La3 La 0.1369 0.0000 0.6846 1
La4 La 0.1813 0.5000 0.4121 1
Dy1 Dy 0.2264 0.0000 0.1345 1
Tm1 Tm 0.0000 0.5000 0.5000 1
```

Total magnetic moment, μB/cell: 0.0
V, A^3/atom: 35.2

---

Which one sits at the bottom of the stability order? 1 does.